# 1
DFT (PBE) results for NaTm3Tl4 after structural relaxation.

Values from the calculation:
- V (A^3/atom) = 26.420
- calculated total energy (eV per atom) = -3.276
- size of the total moment (μB/f.u.) = 0.0
- formation enthalpy at 0 K (meV/atom) = -251

abc: 5.2933 5.2933 26.1321
angles: 90.00 90.00 120.00
Space group R-3m (No. 166, hexagonal axes)
Unique sites:
Na: 0.0000 0.0000 0.0000 (multiplicity 3)
Tm: 0.0000 0.0000 0.2527 (multiplicity 6)
Tm: 0.0000 0.0000 0.5000 (multiplicity 3)
Tl: 0.0000 0.0000 0.1244 (multiplicity 6)
Tl: 0.0000 0.0000 0.3749 (multiplicity 6)

# 2
DFT (PBE) results for Ba2PuSn3Rh4 after structural relaxation.

Values from the calculation:
- V (A^3/atom) = 24.331
- calculated total energy (eV per atom) = -6.537
- size of the total moment (μB/f.u.) = 5.2
- formation enthalpy at 0 K (meV/atom) = -577

abc: 4.643 4.643 11.287
angles: 90.00 90.00 90.00
Space group P-4m2 (No. 115)
Unique sites:
Ba: 0.000 0.500 0.240 (multiplicity 2)
Pu: 0.000 0.000 0.500 (multiplicity 1)
Sn: 0.000 0.500 0.880 (multiplicity 2)
Sn: 0.500 0.500 0.500 (multiplicity 1)
Rh: 0.000 0.000 0.000 (multiplicity 1)
Rh: 0.000 0.500 0.634 (multiplicity 2)
Rh: 0.500 0.500 0.000 (multiplicity 1)

# 3
DFT (PBE) results for Pm12Tl6Ge after structural relaxation.

Values from the calculation:
- V (A^3/atom) = 31.974
- calculated total energy (eV per atom) = -4.221
- size of the total moment (μB/f.u.) = 0.0
- formation enthalpy at 0 K (meV/atom) = -231

abc: 12.3628 12.3628 13.7694
angles: 90.00 90.00 120.00
Space group R-3 (No. 148, hexagonal axes)
Unique sites:
Pm: 0.0363 0.1908 0.3625 (multiplicity 18)
Pm: 0.0442 0.8466 0.8951 (multiplicity 18)
Tl: 0.0009 0.4057 0.2319 (multiplicity 18)
Ge: 0.0000 0.0000 0.5000 (multiplicity 3)

# 4
DFT (PBE) results for PrLuPuSc after structural relaxation.

Values from the calculation:
- V (A^3/atom) = 29.349
- calculated total energy (eV per atom) = -7.304
- size of the total moment (μB/f.u.) = 5.9
- formation enthalpy at 0 K (meV/atom) = 187

abc: 7.773 7.773 7.773
angles: 90.00 90.00 90.00
Space group F-43m (No. 216)
Unique sites:
Pr: 0.000 0.000 0.000 (multiplicity 4)
Lu: 0.250 0.250 0.750 (multiplicity 4)
Pu: 0.000 0.000 0.500 (multiplicity 4)
Sc: 0.250 0.250 0.250 (multiplicity 4)

# 5
DFT (PBE) results for RbLiIn3 after structural relaxation.

Values from the calculation:
- V (A^3/atom) = 50.806
- calculated total energy (eV per atom) = -1.357
- size of the total moment (μB/f.u.) = 0.0
- formation enthalpy at 0 K (meV/atom) = 863

abc: 6.333 6.333 6.333
angles: 90.00 90.00 90.00
Space group Pm-3m (No. 221)
Unique sites:
Rb: 0.000 0.000 0.000 (multiplicity 1)
Li: 0.500 0.500 0.500 (multiplicity 1)
In: 0.000 0.000 0.500 (multiplicity 3)

# 6
DFT (PBE) results for PuHgPtAu after structural relaxation.

Values from the calculation:
- V (A^3/atom) = 21.213
- calculated total energy (eV per atom) = -6.361
- size of the total moment (μB/f.u.) = 5.2
- formation enthalpy at 0 K (meV/atom) = -373

abc: 6.975 6.975 6.975
angles: 90.00 90.00 90.00
Space group F-43m (No. 216)
Unique sites:
Pu: 0.000 0.000 0.000 (multiplicity 4)
Hg: 0.000 0.000 0.500 (multiplicity 4)
Pt: 0.250 0.250 0.250 (multiplicity 4)
Au: 0.250 0.250 0.750 (multiplicity 4)